Arrangement P

Material: LiCd2Ag2
Method: DFT, GGA-PBE
State: optimized geometry

abc: 8.110 8.110 3.117
angles: 90.00 90.00 90.00
Element x y z (fractional)
Li: 0.000 0.000 0.000
Li: 0.500 0.500 0.000
Ag: 0.371 0.871 0.000
Ag: 0.871 0.629 0.000
Ag: 0.629 0.129 0.000
Ag: 0.129 0.371 0.000
Cd: 0.170 0.670 0.500
Cd: 0.670 0.830 0.500
Cd: 0.830 0.330 0.500
Cd: 0.330 0.170 0.500

Properties
**Total moment**: 0.0000 μB per atom
**Space-group type**: P4/mbm, No. 127
**Fermi-level density of states**: 4.21 states/eV per cell
**Calculated volume**: 20.5 A^3/atom

Arrangement Q

Material: LiCd2Ag2
Method: DFT, GGA-PBE
State: optimized geometry

abc: 4.094 4.094 7.359
angles: 73.85 73.85 90.00
Element x y z (fractional)
Li: 0.000 0.000 0.000
Ag: 0.401 0.401 0.197
Ag: 0.599 0.599 0.803
Cd: 0.750 0.250 0.500
Cd: 0.250 0.750 0.500

Properties
**Total moment**: 0.0000 μB per atom
**Space-group type**: I4/mmm, No. 139
**Fermi-level density of states**: 1.69 states/eV per cell
**Calculated volume**: 22.7 A^3/atom

Arrangement R

Material: LiCd2Ag2
Method: DFT, GGA-PBE
State: optimized geometry

abc: 5.331 4.847 9.109
angles: 121.33 107.01 90.00
Element x y z (fractional)
Li: 0.675 0.750 0.000
Li: 0.325 0.250 0.000
Cd: 0.855 0.136 0.386
Cd: 0.530 0.636 0.386
Cd: 0.145 0.864 0.614
Cd: 0.470 0.364 0.614
Ag: 0.940 0.447 0.194
Ag: 0.746 0.053 0.806
Ag: 0.060 0.553 0.806
Ag: 0.254 0.947 0.194

Properties
**Total moment**: 0.0000 μB per atom
**Space-group type**: C2/c, No. 15
**Fermi-level density of states**: 3.58 states/eV per cell
**Calculated volume**: 18.9 A^3/atom

Question: which arrangement is favored energetically? Ranking from most to least stable: arrangement R, arrangement P, arrangement Q.

Arrangement P

Material: LiCd2Ag2
Method: DFT, GGA-PBE
State: optimized geometry

abc: 3.929 3.929 7.584
angles: 74.99 74.99 90.00
Element x y z (fractional)
Li: 0.000 0.000 0.000
Ag: 0.750 0.250 0.500
Ag: 0.250 0.750 0.500
Cd: 0.401 0.401 0.198
Cd: 0.599 0.599 0.802

Properties
**Total moment**: 0.0000 μB per atom
**Space-group type**: I4/mmm, No. 139
**Fermi-level density of states**: 1.61 states/eV per cell
**Calculated volume**: 21.8 A^3/atom

Arrangement Q

Material: LiCd2Ag2
Method: DFT, GGA-PBE
State: optimized geometry

abc: 4.290 5.192 5.071
angles: 82.08 64.98 65.60
Element x y z (fractional)
Li: 0.500 0.500 0.000
Cd: 0.705 0.699 0.390
Cd: 0.295 0.301 0.610
Ag: 0.101 0.100 0.197
Ag: 0.899 0.900 0.803

Properties
**Total moment**: 0.0000 μB per atom
**Space-group type**: C2/m, No. 12
**Fermi-level density of states**: 1.50 states/eV per cell
**Calculated volume**: 18.6 A^3/atom

Question: which arrangement is favored energetically? Ranking from most to least stable: arrangement Q, arrangement P.

Arrangement P

Material: Li3Cd2Ag4
Method: DFT, GGA-PBE
State: optimized geometry

abc: 5.072 5.052 7.722
angles: 71.16 89.97 60.26
Element x y z (fractional)
Li: 0.544 0.218 0.672
Li: 0.000 0.000 0.000
Li: 0.456 0.782 0.328
Cd: 0.774 0.114 0.331
Cd: 0.226 0.886 0.669
Ag: 0.332 0.329 0.001
Ag: 0.886 0.550 0.667
Ag: 0.114 0.450 0.333
Ag: 0.668 0.671 0.999

Properties
**Total moment**: 0.0000 μB per atom
**Space-group type**: P-1, No. 2
**Fermi-level density of states**: 1.89 states/eV per cell
**Calculated volume**: 17.7 A^3/atom

Arrangement Q

Material: Li3Cd2Ag4
Method: DFT, GGA-PBE
State: optimized geometry

abc: 4.279 4.938 8.718
angles: 75.32 90.00 115.67
Element x y z (fractional)
Li: 0.664 0.328 0.784
Li: 0.000 0.000 0.000
Li: 0.336 0.672 0.216
Cd: 0.669 0.339 0.435
Cd: 0.331 0.661 0.565
Ag: 0.668 0.336 0.102
Ag: 0.332 0.664 0.898
Ag: 0.997 0.994 0.681
Ag: 0.003 0.006 0.319

Properties
**Total moment**: 0.0000 μB per atom
**Space-group type**: C2/m, No. 12
**Fermi-level density of states**: 2.04 states/eV per cell
**Calculated volume**: 17.7 A^3/atom

Question: which arrangement is favored energetically? Ranking from most to least stable: arrangement P, arrangement Q.

Arrangement P

Material: Li3Cd6Ag2
Method: DFT, GGA-PBE
State: optimized geometry

abc: 4.202 4.202 14.291
angles: 98.45 98.45 90.00
Element x y z (fractional)
Li: 0.000 0.000 0.000
Li: 0.844 0.844 0.687
Li: 0.156 0.156 0.313
Cd: 0.064 0.564 0.128
Cd: 0.564 0.064 0.128
Cd: 0.936 0.436 0.872
Cd: 0.436 0.936 0.872
Cd: 0.734 0.734 0.468
Cd: 0.266 0.266 0.532
Ag: 0.364 0.364 0.728
Ag: 0.636 0.636 0.272

Properties
**Total moment**: 0.0000 μB per atom
**Space-group type**: I4/mmm, No. 139
**Fermi-level density of states**: 3.26 states/eV per cell
**Calculated volume**: 22.4 A^3/atom

Arrangement Q

Material: Li3Cd6Ag2
Method: DFT, GGA-PBE
State: optimized geometry

abc: 5.297 7.387 12.377
angles: 43.68 82.39 114.62
Element x y z (fractional)
Li: 0.000 0.000 0.000
Li: 0.892 0.814 0.326
Li: 0.108 0.186 0.674
Cd: 0.383 0.846 0.773
Cd: 0.767 0.338 0.744
Cd: 0.617 0.154 0.227
Cd: 0.233 0.662 0.256
Cd: 0.612 0.792 0.564
Cd: 0.388 0.208 0.436
Ag: 0.378 0.522 0.102
Ag: 0.622 0.478 0.898

Properties
**Total moment**: 0.0000 μB per atom
**Space-group type**: P-1, No. 2
**Fermi-level density of states**: 4.60 states/eV per cell
**Calculated volume**: 20.0 A^3/atom

Question: which arrangement is favored energetically? Ranking from most to least stable: arrangement Q, arrangement P.

Arrangement P

Material: Li2Cd3Ag8
Method: DFT, GGA-PBE
State: optimized geometry

abc: 2.915 9.837 9.444
angles: 117.14 90.00 90.00
Element x y z (fractional)
Li: 0.500 0.375 0.540
Li: 0.500 0.625 0.460
Cd: 0.500 0.000 0.000
Cd: 0.000 0.230 0.927
Cd: 0.000 0.770 0.073
Ag: 0.000 0.548 0.184
Ag: 0.000 0.452 0.816
Ag: 0.000 0.107 0.333
Ag: 0.000 0.893 0.667
Ag: 0.500 0.680 0.760
Ag: 0.500 0.151 0.628
Ag: 0.500 0.849 0.372
Ag: 0.500 0.320 0.240

Properties
**Total moment**: 0.0000 μB per atom
**Space-group type**: P2/m, No. 10
**Fermi-level density of states**: 3.43 states/eV per cell
**Calculated volume**: 18.5 A^3/atom

Arrangement Q

Material: Li2Cd3Ag8
Method: DFT, GGA-PBE
State: optimized geometry

abc: 5.507 5.507 10.457
angles: 74.73 74.73 60.00
Element x y z (fractional)
Li: 0.640 0.640 0.081
Li: 0.360 0.360 0.919
Cd: 0.000 0.000 0.000
Cd: 0.818 0.818 0.546
Cd: 0.182 0.182 0.454
Ag: 0.725 0.725 0.826
Ag: 0.275 0.275 0.174
Ag: 0.234 0.734 0.298
Ag: 0.734 0.234 0.298
Ag: 0.734 0.734 0.298
Ag: 0.266 0.766 0.702
Ag: 0.766 0.266 0.702
Ag: 0.266 0.266 0.702

Properties
**Total moment**: 0.0000 μB per atom
**Space-group type**: R-3m, No. 166
**Fermi-level density of states**: 4.78 states/eV per cell
**Calculated volume**: 20.1 A^3/atom

Question: which arrangement is favored energetically? Ranking from most to least stable: arrangement P, arrangement Q.

Arrangement P

Material: Li2CdAg2
Method: DFT, GGA-PBE
State: optimized geometry

abc: 7.597 7.597 2.970
angles: 90.00 90.00 90.00
Element x y z (fractional)
Li: 0.363 0.863 0.000
Li: 0.863 0.637 0.000
Li: 0.637 0.137 0.000
Li: 0.137 0.363 0.000
Ag: 0.157 0.657 0.500
Ag: 0.657 0.843 0.500
Ag: 0.843 0.343 0.500
Ag: 0.343 0.157 0.500
Cd: 0.000 0.000 0.000
Cd: 0.500 0.500 0.000

Properties
**Total moment**: 0.0000 μB per atom
**Space-group type**: P4/mbm, No. 127
**Fermi-level density of states**: 3.82 states/eV per cell
**Calculated volume**: 17.1 A^3/atom

Arrangement Q

Material: Li2CdAg2
Method: DFT, GGA-PBE
State: optimized geometry

abc: 7.596 7.596 3.082
angles: 90.00 90.00 90.00
Element x y z (fractional)
Li: 0.163 0.663 0.500
Li: 0.663 0.837 0.500
Li: 0.837 0.337 0.500
Li: 0.337 0.163 0.500
Ag: 0.366 0.866 0.000
Ag: 0.866 0.634 0.000
Ag: 0.634 0.134 0.000
Ag: 0.134 0.366 0.000
Cd: 0.000 0.000 0.000
Cd: 0.500 0.500 0.000

Properties
**Total moment**: 0.0000 μB per atom
**Space-group type**: P4/mbm, No. 127
**Fermi-level density of states**: 3.61 states/eV per cell
**Calculated volume**: 17.8 A^3/atom

Arrangement R

Material: Li2CdAg2
Method: DFT, GGA-PBE
State: optimized geometry

abc: 4.386 5.731 9.421
angles: 129.56 103.46 90.00
Element x y z (fractional)
Li: 0.700 0.159 0.400
Li: 0.700 0.659 0.400
Li: 0.300 0.841 0.600
Li: 0.300 0.341 0.600
Cd: 0.500 0.750 0.000
Cd: 0.500 0.250 0.000
Ag: 0.115 0.229 0.229
Ag: 0.885 0.271 0.771
Ag: 0.885 0.771 0.771
Ag: 0.115 0.729 0.229

Properties
**Total moment**: 0.0000 μB per atom
**Space-group type**: C2/m, No. 12
**Fermi-level density of states**: 3.22 states/eV per cell
**Calculated volume**: 17.4 A^3/atom

Question: which arrangement is favored energetically? Ranking from most to least stable: arrangement Q, arrangement R, arrangement P.